[1]
HoScCu | PBE | relaxed

Results
Offset from the most stable computed form in eV per formula unit: 0.09
DFT formation energy in eV per atom: -0.1468
E in eV for the cell shown: -30.9
Crystal system: orthorhombic

Unit cell a=4.4537 b=4.4696 c=6.7926 alpha=90.01 beta=90.00 gamma=90.00
Positions (direct):
Ho1 0.9805 0.9927 0.5036
Ho2 0.4805 0.4927 0.2539
Sc1 0.4805 0.9929 0.8789
Sc2 0.9805 0.4929 0.8786
Cu1 0.9806 0.9931 0.1048
Cu2 0.4806 0.4930 0.6532

=====

[2]
Cs3YZn | PBE | relaxed

Results
DFT formation energy in eV per atom: 0.8545
E in eV for the cell shown: -6.0
Crystal system: cubic

Unit cell a=7.8408 b=7.8408 c=7.8408 alpha=90.00 beta=90.00 gamma=90.00
Positions (direct):
Cs1 0.0000 0.5000 0.0000
Cs2 0.0000 0.0000 0.5000
Cs3 0.5000 0.0000 0.0000
Y1 0.0000 0.0000 0.0000
Zn1 0.5000 0.5000 0.5000

=====

[3]
Ac3Bi2As | PBE | relaxed

Results
DFT formation energy in eV per atom: -1.1432
E in eV for the cell shown: -126.4
Crystal system: orthorhombic

Unit cell a=8.2681 b=8.2681 c=15.0490 alpha=100.57 beta=100.57 gamma=109.40
Positions (direct):
Ac1 0.1636 0.6770 0.8270
Ac2 0.6634 0.1499 0.8270
Ac3 0.0864 0.0730 0.6730
Ac4 0.5866 0.6001 0.6730
Ac5 0.0160 0.5160 0.5000
Ac6 0.4840 0.9840 0.5000
Ac7 0.3999 0.4134 0.3270
Ac8 0.9270 0.9136 0.3270
Ac9 0.8501 0.3366 0.1730
Ac10 0.3230 0.8364 0.1730
Ac11 0.2340 0.2340 0.0000
Ac12 0.7660 0.7660 0.0000
Bi1 0.9986 0.4986 0.9973
Bi2 0.4187 0.4187 0.8374
Bi3 0.8313 0.3313 0.6626
Bi4 0.2514 0.2514 0.5027
Bi5 0.7486 0.7486 0.4973
Bi6 0.6687 0.1687 0.3374
Bi7 0.5813 0.5813 0.1626
Bi8 0.5014 0.0014 0.0027
As1 0.9166 0.9166 0.8331
As2 0.3334 0.8334 0.6669
As3 0.1666 0.6666 0.3331
As4 0.0834 0.0834 0.1669

=====

[4]
Tl2CdAgI5 | PBE | relaxed

Results
Formation energy without anion corrections in kJ/mol of atoms: -51
E in eV for the cell shown: -41.9
Crystal system: orthorhombic

Unit cell a=4.5153 b=11.1078 c=14.4721 alpha=90.00 beta=90.00 gamma=101.73
Positions (direct):
Tl1 0.8764 0.7528 0.8137
Tl2 0.1373 0.2745 0.6847
Tl3 0.1236 0.2472 0.3137
Tl4 0.8627 0.7255 0.1847
Cd1 0.5689 0.1377 0.9345
Cd2 0.4311 0.8623 0.4345
Ag1 0.7715 0.5431 0.5356
Ag2 0.2285 0.4569 0.0356
I1 0.3579 0.7158 0.0016
I2 0.6930 0.3860 0.8786
I3 0.5022 0.0044 0.7688
I4 0.2965 0.5930 0.6613
I5 0.9612 0.9223 0.5452
I6 0.6421 0.2842 0.5016
I7 0.3070 0.6140 0.3786
I8 0.4978 0.9956 0.2688
I9 0.7035 0.4070 0.1613
I10 0.0388 0.0777 0.0452

=====

[5]
Mn2MoH | PBE | relaxed

Results
Offset from the most stable computed form in eV per formula unit: 1.67
E in eV for the cell shown: -29.6
Crystal system: cubic

Unit cell a=4.0202 b=4.0202 c=4.0202 alpha=60.00 beta=60.00 gamma=60.00
Positions (direct):
H1 0.0000 0.0000 0.0000
Mo1 0.5000 0.5000 0.5000
Mn1 0.2500 0.2500 0.2500
Mn2 0.7500 0.7500 0.7500

=====

[6]
UTiW | PBE | relaxed

Results
Offset from the most stable computed form in eV per formula unit: 1.31
DFT formation energy in eV per atom: 0.6328
E in eV for the cell shown: -90.7
Crystal system: trigonal

Unit cell a=5.4332 b=5.4332 c=7.7178 alpha=69.39 beta=69.39 gamma=60.00
Positions (direct):
W1 0.1857 0.1857 0.4429
W2 0.3059 0.3059 0.0822
W3 0.6690 0.6690 0.9929
U1 0.7105 0.4308 0.7166
U2 0.1421 0.7105 0.7166
U3 0.4308 0.1421 0.7166
Ti1 0.7146 0.7567 0.2953
Ti2 0.7567 0.2334 0.2953
Ti3 0.2334 0.7146 0.2953

=====

[7]
LiZn4Sn4O8 | PBE | relaxed

Results
Offset from the most stable computed form in eV per formula unit: 1.07
Formation energy without anion corrections in kJ/mol of atoms: -117
E in eV for the cell shown: -83.2
Crystal system: triclinic

Unit cell a=3.3760 b=8.0529 c=10.0647 alpha=91.06 beta=97.76 gamma=95.74
Positions (direct):
Li1 0.7872 0.3366 0.3758
Zn1 0.6546 0.9441 0.7012
Zn2 0.3567 0.0423 0.2695
Zn3 0.2819 0.1976 0.8963
Zn4 0.7477 0.7734 0.0757
Sn1 0.9015 0.7226 0.4238
Sn2 0.0940 0.6192 0.8282
Sn3 0.9460 0.3719 0.1231
Sn4 0.3360 0.3079 0.5987
O1 0.2737 0.2266 0.3934
O2 0.2085 0.6393 0.0442
O3 0.8203 0.3408 0.9130
O4 0.4781 0.8456 0.5146
O5 0.8187 0.8937 0.2545
O6 0.6793 0.8017 0.8651
O7 0.1998 0.0805 0.7196
O8 0.3485 0.1809 0.0991

=====

[8]
Dy2Y5Tm4 | PBE | relaxed

Results
Offset from the most stable computed form in eV per formula unit: 0.00
DFT formation energy in eV per atom: 0.1002
E in eV for the cell shown: -58.3
Crystal system: monoclinic

Unit cell a=5.6200 b=9.3183 c=24.4436 alpha=162.75 beta=96.60 gamma=90.00
Positions (direct):
Dy1 0.4136 0.2281 0.8271
Dy2 0.5864 0.7719 0.1729
Y1 0.8403 0.1041 0.6805
Y2 0.1597 0.8959 0.3195
Y3 0.7931 0.5010 0.5861
Y4 0.5000 0.0000 0.0000
Y5 0.2069 0.4990 0.4139
Tm1 0.3148 0.3755 0.6297
Tm2 0.9478 0.9839 0.8956
Tm3 0.6852 0.6245 0.3703
Tm4 0.0522 0.0161 0.1044